1.
YZrAlOs | the Alexandria database | PBE-GGA | relaxed; DOS at the Fermi energy = 0.256 states/eV per atom; energy of formation from the pure elements = -0.289 eV per atom
1.0
0.000 3.415 3.415
3.415 0.000 3.415
3.415 3.415 0.000
Y Zr Al Os
1 1 1 1
direct
0.000 0.000 0.000
0.500 0.500 0.500
0.750 0.750 0.750
0.250 0.250 0.250

---

2.
GdDy2Al | the Alexandria database | PBE-GGA | relaxed; DOS at the Fermi energy = 0.975 states/eV per atom; energy of formation from the pure elements = -0.184 eV per atom
1.0
3.527 0.000 0.000
0.000 3.527 0.000
0.000 0.000 8.979
Gd Dy Al
1 2 1
direct
0.000 0.000 0.000
0.500 0.500 0.288
0.500 0.500 0.712
0.000 0.000 0.500

---

3.
LiPrH6Ir | the Alexandria database | PBE-GGA | relaxed; electronic total energy = -39.616 eV for the cell shown; DOS at the Fermi energy = 0.199 states/eV per atom
1.0
4.628 0.000 0.000
-2.314 4.008 0.000
0.000 0.000 4.436
Li Pr H Ir
1 1 6 1
direct
0.000 0.000 0.000
0.667 0.333 0.500
0.179 0.358 0.263
0.179 0.358 0.737
0.179 0.821 0.263
0.179 0.821 0.737
0.642 0.821 0.263
0.642 0.821 0.737
0.333 0.667 0.000

---

4.
Er3Tl3ZnTe8 | the Alexandria database | PBE-GGA | relaxed; formation energy (no corrections) = -0.760 eV per atom; DOS at the Fermi energy = 0.772 states/eV per atom
1.0
7.496 -4.322 0.000
7.496 4.322 0.000
-5.011 0.000 8.185
Er Tl Zn Te
3 3 1 8
direct
0.000 0.000 0.000
0.000 0.500 0.000
0.500 0.000 0.000
0.000 0.500 0.500
0.500 0.000 0.500
0.500 0.500 0.500
0.500 0.500 0.000
0.239 0.239 0.216
0.246 0.730 0.205
0.270 0.754 0.795
0.272 0.272 0.796
0.728 0.728 0.204
0.730 0.246 0.205
0.754 0.270 0.795
0.761 0.761 0.784

---

5.
CePu3Co | the Alexandria database | PBE-GGA | relaxed; DOS at the Fermi energy = 4.686 states/eV per atom; energy of formation from the pure elements = 0.290 eV per atom
1.0
5.176 0.000 0.000
0.000 5.176 0.000
0.000 0.000 5.176
Ce Pu Co
1 3 1
direct
0.000 0.000 0.000
0.000 0.500 0.500
0.500 0.000 0.500
0.500 0.500 0.000
0.500 0.500 0.500

---

6.
Li2TaCl | the Alexandria database | PBE-GGA | relaxed; formation energy (no corrections) = -0.053 eV per atom; DOS at the Fermi energy = 0.618 states/eV per atom
1.0
1.515 -2.611 0.000
1.515 2.611 0.000
0.000 0.000 9.232
Li Ta Cl
2 1 1
direct
0.000 0.000 0.000
0.500 0.500 0.286
0.500 0.500 0.721
0.000 0.000 0.487

---

no.,mass density (Mg/m³)
1,8.3
2,7.6
3,7.0
4,6.9
5,11.2
6,5.2